DFT (PBE-GGA) results for a relaxed HfMn2GaH crystal.

Computed properties:
As for the density of states at the Fermi level: 4.4 states/eV/f.u. The total DFT energy (no corrections) comes out at -7.0814 eV/atom. Its total moment is 0.756 μB/atom. Its crystal system is tetragonal.

a b c (Å): 3.9330 3.9330 3.9760
angles (deg): 90.00 90.00 90.00
Fractional coordinates of all 5 atoms:
Hf1 0.0000 0.0000 0.0000
Mn1 0.0000 0.5000 0.5000
Mn2 0.5000 0.0000 0.5000
Ga1 0.5000 0.5000 0.0000
H1 0.0000 0.0000 0.5000